<i>
VASP calculation (GGA-PBE) on a relaxed Cu2SCl crystal.

Structure (extended XYZ):
```
4
Lattice="0.000 3.129 3.129 3.129 0.000 3.129 3.129 3.129 0.000" Properties=species:S:1:pos:R:3 pbc="T T T"
Cu 1.564 1.564 1.564
Cu 4.693 4.693 4.693
S 0.000 0.000 0.000
Cl 3.129 3.129 3.129
```

Summary:
Total moment in μB per atom: 0.001
Calculated volume in Å³/cell: 61.3
DOS(E_F) in states/eV/cell: 9.93
Space group: Fm-3m (225)

<ii>
VASP calculation (GGA-PBE) on a relaxed Cu2SCl crystal.

Structure (extended XYZ):
```
8
Lattice="3.528 0.000 0.000 -0.179 6.256 0.000 -0.718 -0.962 6.666" Properties=species:S:1:pos:R:3 pbc="T T T"
Cu 0.000 0.000 0.000
Cu 0.013 1.210 2.649
Cu 0.490 1.490 6.265
Cu 1.731 4.928 3.876
S 0.136 0.000 4.546
S 1.770 0.905 1.170
Cl 0.021 3.590 2.953
Cl 2.282 3.037 6.156
```

Summary:
Total moment in μB per atom: 0.000
Calculated volume in Å³/cell: 147.1
DOS(E_F) in states/eV/cell: 5.71
Space group: P1 (1)

<iii>
VASP calculation (GGA-PBE) on a relaxed Cu2SCl crystal.

Structure (extended XYZ):
```
16
Lattice="6.748 0.000 0.000 0.000 6.760 0.000 -0.004 0.000 7.182" Properties=species:S:1:pos:R:3 pbc="T T T"
Cu 0.882 0.801 1.808
Cu 0.880 2.580 5.399
Cu 2.246 5.073 3.586
Cu 2.245 5.068 7.177
Cu 4.499 1.693 0.005
Cu 4.497 1.688 3.596
Cu 5.864 4.181 1.783
Cu 5.862 5.960 5.374
S 1.012 4.802 5.380
S 1.014 5.338 1.789
S 5.730 1.422 5.393
S 5.732 1.958 1.802
Cl 2.251 1.681 3.604
Cl 2.253 1.699 0.013
Cl 4.491 5.061 7.169
Cl 4.493 5.079 3.578
```

Summary:
Total moment in μB per atom: 0.000
Calculated volume in Å³/cell: 327.6
DOS(E_F) in states/eV/cell: 13.91
Space group: P2_1/c (14)

<iii> is the most stable structure; the next one sits 0.050 eV/atom above it.